{
  "formula": "TiZn2BTe",
  "functional": "PBE",
  "state": "relaxed",
  "formation_energy_uncorrected_ev_per_atom": 1.61,
  "crystal_system": "tetragonal",
  "space_group": "P4/mmm",
  "e_tot_ev_per_cell": -12.22,
  "lattice": [[5.131, 0.000, 0.000], [0.000, 5.131, 0.000], [0.000, 0.000, 5.172]],
  "species": ["Ti", "Zn", "Zn", "B", "Te"],
  "fractional_positions": [[0.000, 0.000, 0.000], [0.000, 0.500, 0.500], [0.500, 0.000, 0.500], [0.500, 0.500, 0.000], [0.000, 0.000, 0.500]]
}